[1]
A plane-wave DFT calculation with PBE was carried out for BeVIN2 after structural relaxation.

Summary:
Formation energy from raw total energies (meV/atom): 1481
Theoretical density (Mg/m³): 5.2
Space group: P4/mmm
ΔE to the lowest computed polymorph (meV per atom): 799

Cell lengths 3.6730, 3.6730, 5.0651 Å; angles 90.00, 90.00, 90.00 degrees
With the nearest neighbours (Å) after each atom.
Sites, in units of the cell vectors:
N1 0.5000 0.0000 0.0000  2 Be 1.84
N2 0.0000 0.5000 0.0000  2 Be 1.84
V1 0.5000 0.5000 0.5000  4 I 2.60
I1 0.0000 0.0000 0.5000  2 Be 2.53, 4 V 2.60
Be1 0.0000 0.0000 0.0000  4 N 1.84



[2]
A plane-wave DFT calculation with PBE was carried out for GdUIrRu after structural relaxation.

Summary:
ΔH_f (0 K) (eV/atom): -0.35
Theoretical density (Mg/m³): 14.2
Space group: F-43m

Cell lengths 4.8413, 4.8413, 4.8413 Å; angles 60.00, 60.00, 60.00 degrees
With the nearest neighbours (Å) after each atom.
Sites, in units of the cell vectors:
Ir1 0.0000 0.0000 0.0000  4 Gd 2.96, 4 U 2.96
Ru1 0.5000 0.5000 0.5000  4 U 2.96, 4 Gd 2.96
U1 0.7500 0.7500 0.7500  4 Ir 2.96, 4 Ru 2.96
Gd1 0.2500 0.2500 0.2500  4 Ru 2.96, 4 Ir 2.96



[3]
A plane-wave DFT calculation with PBE was carried out for LiTcHg2 after structural relaxation.

Summary:
ΔH_f (0 K) (eV/atom): 0.16
Theoretical density (Mg/m³): 12.0
Space group: Cmmm
ΔE to the lowest computed polymorph (meV per atom): 0

Cell lengths 4.8637, 4.8637, 2.9855 Å; angles 90.02, 90.02, 96.26 degrees
With the nearest neighbours (Å) after each atom.
Sites, in units of the cell vectors:
Li1 0.5000 0.0000 0.5000  8 Hg 2.85, 2 Li 2.99
Tc1 0.0000 0.5000 0.5000  8 Hg 2.85, 2 Tc 2.99
Hg1 0.5000 0.5000 0.0000  4 Tc 2.85, 4 Li 2.85, 2 Hg 2.99
Hg2 0.0000 0.0000 0.0000  4 Li 2.85, 4 Tc 2.85, 2 Hg 2.99



[4]
A plane-wave DFT calculation with PBE was carried out for Ti7Si2N2 after structural relaxation.

Summary:
Formation energy from raw total energies (meV/atom): -734
Theoretical density (Mg/m³): 4.6
Space group: Imm2

Cell lengths 2.8887, 7.8210, 7.8210 Å; angles 60.70, 79.36, 79.36 degrees
With the nearest neighbours (Å) after each atom.
Sites, in units of the cell vectors:
Ti1 0.8183 0.0824 0.2810  3 N 2.33-2.47
Ti2 0.5000 0.0221 0.9779  3 Si 2.63-2.64, 2 Ti 2.89
Ti3 0.1559 0.0870 0.6011  2 N 2.09
Ti4 0.1817 0.7190 0.9176  3 N 2.33-2.47
Ti5 0.3609 0.7322 0.5459  2 N 2.09
Ti6 0.8441 0.3989 0.9130  2 N 2.09
Ti7 0.6391 0.4541 0.2678  2 N 2.09
Si1 0.5000 0.3557 0.6443  7 Ti 2.62-2.67, 2 Si 2.89
Si2 0.0000 0.7436 0.2564  8 Ti 2.62-2.70, 2 Si 2.89
N1 0.7482 0.8812 0.6223  5 Ti 2.09-2.33
N2 0.2518 0.3777 0.1188  5 Ti 2.09-2.33



Respective magnetization values: 0.75; 5.04; 0.00; 0.00 μB per cell.